Computed, not measured: crystalline YInNi2B at its relaxed geometry at the GGA-PBE level of DFT.

```
data_YInNi2B
_chemical_formula_sum 'Y1 In1 Ni2 B1'
_cell_length_a 4.802
_cell_length_b 4.802
_cell_length_c 4.697
_cell_angle_alpha 90.00
_cell_angle_beta 90.00
_cell_angle_gamma 90.00
_space_group_name_H-M_alt 'P 4/m m m'
_space_group_IT_number 123
_space_group_name_Hall '-P 4 2'
loop_
_atom_site_label
_atom_site_fract_x
_atom_site_fract_y
_atom_site_fract_z
_atom_site_occupancy
Y1 0.000 0.000 0.000 1
In1 0.500 0.500 0.500 1
Ni1 0.000 0.500 0.000 1
B1 0.000 0.000 0.500 1
```

Calculated values
Its crystal system is tetragonal. The formation energy is 32.7 kcal/mol of atoms.

---

Computed, not measured: crystalline Rb2CdSnSe4 at its relaxed geometry at the GGA-PBE level of DFT.

```
data_Rb2CdSnSe4
_chemical_formula_sum 'Rb4 Cd2 Sn2 Se8'
_cell_length_a 7.908
_cell_length_b 7.908
_cell_length_c 9.116
_cell_angle_alpha 90.00
_cell_angle_beta 90.00
_cell_angle_gamma 90.00
_space_group_name_H-M_alt 'I -4'
_space_group_IT_number 82
loop_
_space_group_symop_operation_xyz
'x,y,z'
'y,-x,-z'
'-x,-y,z'
'-y,x,-z'
'x+1/2,y+1/2,z+1/2'
'y+1/2,-x+1/2,-z+1/2'
'-x+1/2,-y+1/2,z+1/2'
'-y+1/2,x+1/2,-z+1/2'
loop_
_atom_site_label
_atom_site_fract_x
_atom_site_fract_y
_atom_site_fract_z
_atom_site_occupancy
Rb1 0.000 0.000 0.000 1
Rb2 0.000 0.500 0.250 1
Cd1 0.000 0.000 0.500 1
Sn1 0.000 0.500 0.750 1
Se1 0.162 0.270 0.608 1
```

Calculated values
Its crystal system is tetragonal. The value obtained for the formation energy (no corrections) is -0.826 eV per atom.

---

Computed, not measured: crystalline BW at its relaxed geometry at the GGA-PBE level of DFT.

```
data_BW
_chemical_formula_sum 'B4 W4'
_cell_length_a 4.478
_cell_length_b 4.478
_cell_length_c 4.478
_cell_angle_alpha 90.00
_cell_angle_beta 90.00
_cell_angle_gamma 90.00
_space_group_name_H-M_alt 'F m -3 m'
_space_group_IT_number 225
_space_group_name_Hall '-F 4 2 3'
loop_
_atom_site_label
_atom_site_fract_x
_atom_site_fract_y
_atom_site_fract_z
_atom_site_occupancy
B1 0.000 0.000 0.000 1
W1 0.000 0.000 0.500 1
```

Calculated values
Its crystal system is cubic. The formation energy is -3.4 kcal/mol of atoms. The energy above the lowest structure with this stoichiometry is 0.221 eV/atom.

---

Computed, not measured: crystalline IrCSN2 at its relaxed geometry at the GGA-PBE level of DFT.

```
data_IrCSN2
_chemical_formula_sum 'Ir1 C1 S1 N2'
_cell_length_a 3.696
_cell_length_b 3.696
_cell_length_c 5.336
_cell_angle_alpha 90.00
_cell_angle_beta 90.00
_cell_angle_gamma 90.00
_space_group_name_H-M_alt 'P 4/m m m'
_space_group_IT_number 123
_space_group_name_Hall '-P 4 2'
loop_
_atom_site_label
_atom_site_fract_x
_atom_site_fract_y
_atom_site_fract_z
_atom_site_occupancy
Ir1 0.000 0.000 0.000 1
C1 0.500 0.500 0.500 1
S1 0.000 0.000 0.500 1
N1 0.000 0.500 0.000 1
```

Calculated values
Its crystal system is tetragonal. The value obtained for the formation energy (no corrections) is 2.026 eV per atom. The energy above the lowest structure with this stoichiometry is 0.000 eV/atom.

---

Computed, not measured: crystalline LaSc2Be at its relaxed geometry at the GGA-PBE level of DFT.

```
data_LaSc2Be
_chemical_formula_sum 'La2 Sc4 Be2'
_cell_length_a 6.222
_cell_length_b 10.794
_cell_length_c 3.298
_cell_angle_alpha 90.00
_cell_angle_beta 120.06
_cell_angle_gamma 90.00
_space_group_name_H-M_alt 'C 1 2/m 1'
_space_group_IT_number 12
loop_
_space_group_symop_operation_xyz
'x,y,z'
'-x,-y,-z'
'-x,y,-z'
'x,-y,z'
'x+1/2,y+1/2,z'
'-x+1/2,-y+1/2,-z'
'-x+1/2,y+1/2,-z'
'x+1/2,-y+1/2,z'
loop_
_atom_site_label
_atom_site_fract_x
_atom_site_fract_y
_atom_site_fract_z
_atom_site_occupancy
La1 0.000 0.000 0.000 1
Sc1 0.250 0.250 0.500 1
Be1 0.000 0.500 0.000 1
```

Calculated values
Its crystal system is monoclinic. The formation energy is 9.0 kcal/mol of atoms.